[1]
MnGa3O: relaxed, PBE with a Hubbard U.

Uncorrected energy in Ry/atom: -0.316
Symmetry: Pm-3m

abc: 4.615 4.615 4.615
angles: 90.00 90.00 90.00
Each line ends with the local moment (μB).
Fractional coordinates of all 5 atoms:
Mn1 0.500 0.500 0.500  4.60
O1 0.000 0.000 0.000  -0.10
Ga1 0.000 0.500 0.000  -0.04
Ga2 0.000 0.000 0.500  0.00
Ga3 0.500 0.000 0.000  -0.05

[2]
Mn2GaO: relaxed, PBE with a Hubbard U.

Uncorrected energy in Ry/atom: -0.410
Symmetry: Fm-3m

abc: 4.445 4.445 4.445
angles: 60.00 60.00 60.00
Each line ends with the local moment (μB).
Fractional coordinates of all 4 atoms:
Mn1 0.250 0.250 0.250  4.33
Mn2 0.750 0.750 0.750  4.33
O1 0.000 0.000 0.000  -0.12
Ga1 0.500 0.500 0.500  -0.30

[3]
MnGa2O: relaxed, PBE with a Hubbard U.

Uncorrected energy in Ry/atom: -0.360
Symmetry: I-42d

abc: 6.385 6.385 5.547
angles: 54.86 54.86 90.00
Each line ends with the local moment (μB).
Fractional coordinates of all 8 atoms:
Mn1 0.000 0.000 0.000  4.42
Mn2 0.750 0.250 0.500  4.42
O1 0.500 0.500 0.000  0.04
O2 0.250 0.750 0.500  0.04
Ga1 0.553 0.125 0.250  -0.04
Ga2 0.197 0.625 0.250  -0.04
Ga3 0.375 0.447 0.750  -0.04
Ga4 0.875 0.803 0.750  -0.04

[4]
Mn3GaO: relaxed, PBE with a Hubbard U.

Uncorrected energy in Ry/atom: -0.366
Symmetry: Pm-3m

abc: 5.453 5.453 5.453
angles: 90.00 90.00 90.00
Each line ends with the local moment (μB).
Fractional coordinates of all 5 atoms:
Mn1 0.000 0.500 0.000  4.68
Mn2 0.000 0.000 0.500  4.71
Mn3 0.500 0.000 0.000  4.63
O1 0.500 0.500 0.500  -0.63
Ga1 0.000 0.000 0.000  -0.20

[5]
MnGaO2: relaxed, PBE with a Hubbard U.

Uncorrected energy in Ry/atom: -0.474
Symmetry: Pna2_1

abc: 5.455 6.078 6.797
angles: 90.00 90.00 90.00
Each line ends with the local moment (μB).
Fractional coordinates of all 16 atoms:
Mn1 0.006 0.592 0.373  4.62
Mn2 0.506 0.408 0.627  4.62
Mn3 0.506 0.908 0.873  4.62
Mn4 0.006 0.092 0.127  4.62
Ga1 0.998 0.588 0.878  0.00
Ga2 0.498 0.912 0.378  0.00
Ga3 0.998 0.088 0.622  0.00
Ga4 0.498 0.412 0.122  0.00
O1 0.402 0.081 0.135  0.04
O2 0.402 0.581 0.365  0.04
O3 0.902 0.919 0.865  0.04
O4 0.902 0.419 0.635  0.04
O5 0.867 0.423 0.119  0.04
O6 0.367 0.577 0.881  0.04
O7 0.367 0.077 0.619  0.04
O8 0.867 0.923 0.381  0.04

[6]
MnGaO2: relaxed, PBE with a Hubbard U.

Uncorrected energy in Ry/atom: -0.473
Symmetry: R-3m

abc: 6.253 6.253 6.253
angles: 27.97 27.97 27.97
Each line ends with the local moment (μB).
Fractional coordinates of all 4 atoms:
Mn1 0.000 0.000 0.000  4.11
O1 0.890 0.890 0.890  -0.02
O2 0.110 0.110 0.110  -0.02
Ga1 0.500 0.500 0.500  0.02

[7]
Mn2GaO4: relaxed, PBE with a Hubbard U.

E above lowest polymorph in meV per atom: 230.1
Symmetry: Cmmm

abc: 5.620 5.620 5.880
angles: 90.00 90.00 123.78
Each line ends with the local moment (μB).
Fractional coordinates of all 14 atoms:
Mn1 0.174 0.826 0.000  4.39
Mn2 0.826 0.174 0.000  4.39
Mn3 0.174 0.826 0.500  4.39
Mn4 0.826 0.174 0.500  4.39
Ga1 0.500 0.500 0.250  0.03
Ga2 0.500 0.500 0.750  0.03
O1 0.741 0.741 0.000  0.01
O2 0.259 0.259 0.000  0.01
O3 0.259 0.259 0.500  0.01
O4 0.741 0.741 0.500  0.01
O5 0.500 0.000 0.250  -0.08
O6 0.000 0.500 0.250  -0.08
O7 0.500 0.000 0.750  -0.08
O8 0.000 0.500 0.750  -0.08

[8]
MnGaO: relaxed, PBE with a Hubbard U.

Uncorrected energy in Ry/atom: -0.446
Symmetry: Pnma

abc: 3.015 2.954 21.198
angles: 90.00 90.00 90.00
Each line ends with the local moment (μB).
Fractional coordinates of all 12 atoms:
O1 0.248 0.750 0.802  0.07
O2 0.252 0.750 0.302  0.07
O3 0.752 0.250 0.198  0.07
O4 0.748 0.250 0.698  0.07
Ga1 0.250 0.250 0.552  -0.03
Ga2 0.250 0.250 0.052  -0.03
Ga3 0.750 0.750 0.448  -0.03
Ga4 0.750 0.750 0.948  -0.03
Mn1 0.248 0.750 0.691  4.53
Mn2 0.252 0.750 0.191  4.53
Mn3 0.752 0.250 0.309  4.53
Mn4 0.748 0.250 0.809  4.53

[9]
MnGaO2: relaxed, PBE with a Hubbard U.

Uncorrected energy in Ry/atom: -0.468
Symmetry: R-3m

abc: 6.223 6.223 6.223
angles: 30.17 30.17 30.17
Each line ends with the local moment (μB).
Fractional coordinates of all 4 atoms:
Mn1 0.500 0.500 0.500  4.52
O1 0.896 0.896 0.896  -0.08
O2 0.104 0.104 0.104  -0.08
Ga1 0.000 0.000 0.000  -0.10

[10]
MnGa2O4: relaxed, PBE with a Hubbard U.

E above lowest polymorph in meV per atom: 81.0
Symmetry: C2/m

abc: 3.046 5.061 5.974
angles: 116.89 104.77 90.00
Each line ends with the local moment (μB).
Fractional coordinates of all 7 atoms:
Mn1 0.000 0.000 0.000  4.64
Ga1 0.718 0.723 0.435  0.01
Ga2 0.282 0.277 0.565  0.01
O1 0.858 0.174 0.716  0.02
O2 0.142 0.826 0.284  0.02
O3 0.646 0.298 0.292  0.04
O4 0.354 0.702 0.708  0.04

[11]
MnGaO2: relaxed, PBE with a Hubbard U.

Uncorrected energy in Ry/atom: -0.474
Symmetry: I-42d

abc: 4.828 4.828 5.908
angles: 65.88 65.88 90.00
Each line ends with the local moment (μB).
Fractional coordinates of all 8 atoms:
Mn1 0.500 0.500 0.000  4.61
Mn2 0.250 0.750 0.500  4.61
O1 0.645 0.125 0.250  0.04
O2 0.105 0.625 0.250  0.04
O3 0.375 0.355 0.750  0.04
O4 0.875 0.895 0.750  0.04
Ga1 0.000 0.000 0.000  0.01
Ga2 0.750 0.250 0.500  0.01

[12]
Mn2GaO4: relaxed, PBE with a Hubbard U.

E above lowest polymorph in meV per atom: 0.0
Symmetry: P4_122

abc: 5.970 5.970 9.076
angles: 90.00 90.00 90.00
Each line ends with the local moment (μB).
Fractional coordinates of all 28 atoms:
Mn1 0.748 0.748 0.875  4.59
Mn2 0.252 0.748 0.125  4.59
Mn3 0.748 0.252 0.625  4.59
Mn4 0.252 0.252 0.375  4.59
Mn5 0.754 0.500 0.250  3.99
Mn6 0.500 0.246 0.000  3.99
Mn7 0.500 0.754 0.500  3.99
Mn8 0.246 0.500 0.750  3.99
Ga1 0.000 0.751 0.500  0.04
Ga2 0.249 0.000 0.750  0.04
Ga3 0.751 0.000 0.250  0.04
Ga4 0.000 0.249 0.000  0.04
O1 0.249 0.978 0.518  -0.02
O2 0.751 0.978 0.482  -0.02
O3 0.022 0.249 0.768  -0.02
O4 0.751 0.022 0.018  -0.02
O5 0.250 0.465 0.996  0.02
O6 0.535 0.250 0.246  0.02
O7 0.465 0.750 0.746  0.02
O8 0.250 0.535 0.504  0.02
O9 0.750 0.465 0.004  0.02
O10 0.750 0.535 0.496  0.02
O11 0.465 0.250 0.754  0.02
O12 0.535 0.750 0.254  0.02
O13 0.978 0.249 0.232  -0.02
O14 0.249 0.022 0.982  -0.02
O15 0.978 0.751 0.268  -0.02
O16 0.022 0.751 0.732  -0.02